DFT (PBEsol) results for a relaxed structure of CsCoO2F.

Cell: 4.349 4.349 5.093 Å, 90.00 90.00 90.00°
Last column: magnetic moment on the atom in μB.
Atoms (fractional coordinates):
1 O 0.500 0.000 0.000  0.03
2 O 0.000 0.500 0.000  0.03
3 Co 0.500 0.500 0.500  2.34
4 Cs 0.000 0.000 0.000  0.01
5 F 0.000 0.000 0.500  0.02

Results
- SG = P4/mmm
- M_tot (μB/f.u.) = 2.56
- ΔE_f (raw) (eV per atom) = 0.7528

***

DFT (PBEsol) results for a relaxed structure of Te2IrBr.

Cell: 3.225 5.049 6.507 Å, 112.83 104.35 90.00°
Atoms (fractional coordinates):
1 Te 0.315 0.315 0.630
2 Br 0.500 0.000 0.000
3 Ir 0.000 0.500 0.000
4 Te 0.685 0.685 0.370

Results
- SG = Immm
- M_tot (μB/f.u.) = 0.00
- ΔE_f (raw) (eV per atom) = 0.3227

***

DFT (PBEsol) results for a relaxed structure of MgCd2.

Cell: 3.110 3.110 13.570 Å, 96.58 96.58 90.00°
Atoms (fractional coordinates):
1 Cd 0.422 0.422 0.843
2 Cd 0.672 0.172 0.343
3 Mg 0.250 0.750 0.500
4 Cd 0.578 0.578 0.157
5 Cd 0.828 0.328 0.657
6 Mg 0.000 0.000 0.000

Results
- SG = I4_1/amd
- M_tot (μB/f.u.) = 0.00
- energy of formation (eV per atom) = -0.0441

***

Question: Look up the M_tot of the third one.
Answer: 0.00 μB/f.u.

***

Question: M_tot of number 1 (CsCoO2F)?
Answer: 2.56 μB/f.u.

***

What did the second record say?
DFT (PBEsol) results for a relaxed structure of Te2IrBr.

Cell: 3.225 5.049 6.507 Å, 112.83 104.35 90.00°
Atoms (fractional coordinates):
1 Te 0.315 0.315 0.630
2 Br 0.500 0.000 0.000
3 Ir 0.000 0.500 0.000
4 Te 0.685 0.685 0.370

Results
- SG = Immm
- M_tot (μB/f.u.) = 0.00
- ΔE_f (raw) (eV per atom) = 0.3227

***

Question: What is the M_tot in the second record?
Answer: 0.00 μB/f.u.